1.
Computed, not measured: an optimized crystal structure of TaCdRhC2 at the PBE level of DFT.

Unit cell a=4.0997 b=5.5001 c=4.0997 alpha=90.00 beta=90.00 gamma=90.00
Last column: nearest neighbours and their distance in Å.
Fractional coordinates of all 5 atoms:
C: 0.0000 0.0000 0.5000  2 Ta 2.05
C: 0.5000 0.0000 0.0000  2 Ta 2.05
Cd: 0.0000 0.5000 0.0000  2 Ta 2.75, 4 Rh 2.90
Rh: 0.5000 0.5000 0.5000  4 Cd 2.90
Ta: 0.0000 0.0000 0.0000  4 C 2.05

**DOS at the Fermi energy**: 1.0491 states/eV per atom
**Total moment**: 0.8 μB per formula unit
**Energy relative to the elements**: 1771 meV per atom

=====

2.
Computed, not measured: an optimized crystal structure of CdTeRh2C at the PBE level of DFT.

Unit cell a=4.1222 b=4.9721 c=4.1222 alpha=90.00 beta=90.00 gamma=90.00
Last column: nearest neighbours and their distance in Å.
Fractional coordinates of all 5 atoms:
C: 0.0000 0.0000 0.0000  4 Rh 2.06
Te: 0.5000 0.5000 0.5000  4 Cd 2.91, 8 Rh 3.23
Rh: 0.0000 0.0000 0.5000  2 C 2.06
Rh: 0.5000 0.0000 0.0000  2 C 2.06
Cd: 0.0000 0.5000 0.0000  2 C 2.49

**DOS at the Fermi energy**: 0.5872 states/eV per atom
**Uncorrected formation energy**: 0.44 eV/atom
**Total moment**: 0.0 μB per formula unit

=====

3.
Computed, not measured: an optimized crystal structure of Y2CdRhC at the PBE level of DFT.

Unit cell a=5.0498 b=5.0498 c=3.9449 alpha=90.00 beta=90.00 gamma=90.00
Last column: nearest neighbours and their distance in Å.
Fractional coordinates of all 5 atoms:
Y: 0.0000 0.5000 0.0000  2 C 2.52
Y: 0.5000 0.0000 0.0000  2 C 2.52
C: 0.0000 0.0000 0.0000  2 Rh 1.97
Rh: 0.0000 0.0000 0.5000  2 C 1.97
Cd: 0.5000 0.5000 0.5000  8 Y 3.20, 4 Rh 3.57

**DOS at the Fermi energy**: 0.5331 states/eV per atom
**Total moment**: 0.0 μB per formula unit
**Energy relative to the elements**: -450 meV per atom

=====

4.
Computed, not measured: an optimized crystal structure of CdRuC2 at the PBE level of DFT.

Unit cell a=5.0187 b=5.0187 c=5.8477 alpha=64.59 beta=64.59 gamma=90.00
Last column: nearest neighbours and their distance in Å.
Fractional coordinates of all 8 atoms:
Ru: 0.5000 0.5000 0.0000  4 C 1.93
Ru: 0.2500 0.7500 0.5000  4 C 1.93
C: 0.5520 0.1250 0.2500  2 Ru 1.93
C: 0.1979 0.6250 0.2500  2 Ru 1.93
C: 0.3750 0.4480 0.7500  2 Ru 1.93
C: 0.8750 0.8020 0.7500  2 Ru 1.93
Cd: 0.0000 0.0000 0.0000  4 C 2.36
Cd: 0.7500 0.2500 0.5000  4 C 2.36

**DOS at the Fermi energy**: 0.3979 states/eV per atom
**Total moment**: 0.0 μB per formula unit
**Energy relative to the elements**: 1023 meV per atom

=====

5.
Computed, not measured: an optimized crystal structure of Cd2RuC at the PBE level of DFT.

Unit cell a=8.6452 b=8.6452 c=6.4196 alpha=47.67 beta=47.67 gamma=90.00
Last column: nearest neighbours and their distance in Å.
Fractional coordinates of all 8 atoms:
Ru: 0.0000 0.0000 0.0000  2 C 1.96
Ru: 0.7500 0.2500 0.5000  2 C 1.96
C: 0.5000 0.5000 0.0000  2 Ru 1.96
C: 0.2500 0.7500 0.5000  2 Ru 1.96
Cd: 0.4916 0.1250 0.2500  2 C 2.43
Cd: 0.2584 0.6250 0.2500  2 C 2.43
Cd: 0.3750 0.5084 0.7500  2 C 2.43
Cd: 0.8750 0.7416 0.7500  2 C 2.43

**DOS at the Fermi energy**: 0.6261 states/eV per atom
**Total moment**: 0.0 μB per formula unit
**Energy relative to the elements**: 805 meV per atom

=====

6.
Computed, not measured: an optimized crystal structure of CdRu2C at the PBE level of DFT.

Unit cell a=4.2594 b=4.2594 c=4.2594 alpha=60.00 beta=60.00 gamma=60.00
Last column: nearest neighbours and their distance in Å.
Fractional coordinates of all 4 atoms:
Ru: 0.2500 0.2500 0.2500  4 Cd 2.61, 4 C 2.61
Ru: 0.7500 0.7500 0.7500  4 Cd 2.61, 4 C 2.61
C: 0.0000 0.0000 0.0000  8 Ru 2.61
Cd: 0.5000 0.5000 0.5000  8 Ru 2.61

**DOS at the Fermi energy**: 1.2519 states/eV per atom
**Energy above the lowest structure with this stoichiometry**: 1.062 eV/atom
**Total moment**: 0.8 μB per formula unit
**Energy relative to the elements**: 1564 meV per atom

=====

7.
Computed, not measured: an optimized crystal structure of CdRu2C at the PBE level of DFT.

Unit cell a=6.4989 b=6.4989 c=5.3261 alpha=52.40 beta=52.40 gamma=90.00
Last column: nearest neighbours and their distance in Å.
Fractional coordinates of all 8 atoms:
Ru: 0.5224 0.1250 0.2500  2 C 2.00
Ru: 0.2276 0.6250 0.2500  2 C 2.00
Ru: 0.3750 0.4776 0.7500  2 C 2.00
Ru: 0.8750 0.7724 0.7500  2 C 2.00
C: 0.5000 0.5000 0.0000  4 Ru 2.00
C: 0.2500 0.7500 0.5000  4 Ru 2.00
Cd: 0.0000 0.0000 0.0000  2 C 2.69, 8 Ru 2.76-2.89
Cd: 0.7500 0.2500 0.5000  2 C 2.69, 8 Ru 2.76-2.89

**DOS at the Fermi energy**: 0.9763 states/eV per atom
**Energy above the lowest structure with this stoichiometry**: 0.000 eV/atom
**Total moment**: 0.0 μB per formula unit
**Energy relative to the elements**: 502 meV per atom

=====

8.
Computed, not measured: an optimized crystal structure of CdSbRuC2 at the PBE level of DFT.

Unit cell a=3.9764 b=5.7650 c=3.9764 alpha=90.00 beta=90.00 gamma=90.00
Last column: nearest neighbours and their distance in Å.
Fractional coordinates of all 5 atoms:
Sb: 0.0000 0.5000 0.0000  4 Cd 2.81, 2 Ru 2.88
C: 0.0000 0.0000 0.5000  2 Ru 1.99
C: 0.5000 0.0000 0.0000  2 Ru 1.99
Ru: 0.0000 0.0000 0.0000  4 C 1.99
Cd: 0.5000 0.5000 0.5000  4 Sb 2.81

**DOS at the Fermi energy**: 0.6549 states/eV per atom
**Uncorrected formation energy**: 1.24 eV/atom
**Total moment**: 0.0 μB per formula unit

=====

Repeat the sixth record exactly.
Computed, not measured: an optimized crystal structure of CdRu2C at the PBE level of DFT.

Unit cell a=4.2594 b=4.2594 c=4.2594 alpha=60.00 beta=60.00 gamma=60.00
Last column: nearest neighbours and their distance in Å.
Fractional coordinates of all 4 atoms:
Ru: 0.2500 0.2500 0.2500  4 Cd 2.61, 4 C 2.61
Ru: 0.7500 0.7500 0.7500  4 Cd 2.61, 4 C 2.61
C: 0.0000 0.0000 0.0000  8 Ru 2.61
Cd: 0.5000 0.5000 0.5000  8 Ru 2.61

**DOS at the Fermi energy**: 1.2519 states/eV per atom
**Energy above the lowest structure with this stoichiometry**: 1.062 eV/atom
**Total moment**: 0.8 μB per formula unit
**Energy relative to the elements**: 1564 meV per atom

=====

Among the records above, which one has the lowest DOS at the Fermi energy? CdRuC2